No. 1
Density functional theory data (PBE) for Ac6AsRu2Br3 after structural relaxation.

D(E_F) = 10.3 states/eV/f.u.
energy relative to the elements, uncorrected = -1.03 eV per atom

abc: 7.6734 7.6734 8.5142
angles: 98.64 98.64 119.96
Closest atoms and distances in Å follow each position.
Fractional positions:
Br 0.5000 0.5000 0.5000  6 Ac 3.43-3.60
As 0.0000 0.0000 0.0000  6 Ac 3.15-3.16
Ru 0.3330 0.6670 0.0000  6 Ac 2.95-2.97
Ac 0.0653 0.4190 0.1982  2 Ru 2.95-2.97, 1 As 3.15
Ac 0.5810 0.9347 0.8018  2 Ru 2.95-2.97, 1 As 3.15
Ac 0.4190 0.0653 0.1982  2 Ru 2.95-2.97, 1 As 3.15
Ru 0.6670 0.3330 0.0000  6 Ac 2.95-2.97
Br 0.8358 0.1642 0.5000  6 Ac 3.45-3.60
Ac 0.9347 0.5810 0.8018  2 Ru 2.95-2.97, 1 As 3.15
Br 0.1642 0.8358 0.5000  6 Ac 3.45-3.60
Ac 0.2879 0.2879 0.8020  2 Ru 2.96, 1 As 3.16
Ac 0.7121 0.7121 0.1980  2 Ru 2.96, 1 As 3.16

***

No. 2
Density functional theory data (PBE) for ZnIn2Hg5 after structural relaxation.

DFT formation energy = 46 meV/atom
D(E_F) = 1.6 states/eV/f.u.

abc: 8.6421 8.0520 6.3667
angles: 58.44 45.90 91.51
Closest atoms and distances in Å follow each position.
Fractional positions:
Hg 0.1752 0.6674 0.1897  1 Zn 2.88, 3 Hg 3.00-3.19, 1 In 3.17
Hg 0.7202 0.1423 0.1280  1 Zn 2.88, 2 Hg 3.00-3.19, 2 In 3.15-3.20
Hg 0.5235 0.4777 0.9842  2 Zn 3.00-3.13, 4 Hg 3.12-3.29
In 0.6383 0.1905 0.6536  6 Hg 3.06-3.40, 2 In 3.07-3.11
Zn 0.0484 0.9800 0.9538  6 Hg 2.81-3.13
Hg 0.2031 0.2651 0.9894  1 Zn 2.81, 1 In 3.06, 2 Hg 3.07-3.10
In 0.1733 0.7108 0.6665  6 Hg 3.06-3.26, 2 In 3.07-3.11, 1 Zn 3.28
Hg 0.7410 0.7891 0.9887  1 Zn 2.84, 1 In 3.06, 3 Hg 3.07-3.12